Entry 1:
# NdPuAu2 | Alexandria | PBE | relaxed
data_NdPuAu2
_chemical_formula_sum 'Nd1 Pu1 Au2'
_cell_length_a 3.876
_cell_length_b 4.749
_cell_length_c 5.949
_cell_angle_alpha 90.00
_cell_angle_beta 108.88
_cell_angle_gamma 90.00
_space_group_name_H-M_alt 'P 1'
_space_group_IT_number 1
_space_group_name_Hall 'P 1'
loop_
_atom_site_label
_atom_site_fract_x
_atom_site_fract_y
_atom_site_fract_z
Nd1 0.000 0.000 0.000
Pu1 0.280 0.500 0.563
Au1 0.557 0.500 0.114
Au2 0.725 0.000 0.452
# Energy of formation, meV per atom: -579
# Space group: Pm
# E above lowest polymorph, meV/atom: 0

Entry 2:
# NaAc2Ge6 | Alexandria | PBE | relaxed
data_NaAc2Ge6
_chemical_formula_sum 'Na1 Ac2 Ge6'
_cell_length_a 8.726
_cell_length_b 8.726
_cell_length_c 8.726
_cell_angle_alpha 149.11
_cell_angle_beta 132.79
_cell_angle_gamma 57.49
_space_group_name_H-M_alt 'P 1'
_space_group_IT_number 1
_space_group_name_Hall 'P 1'
loop_
_atom_site_label
_atom_site_fract_x
_atom_site_fract_y
_atom_site_fract_z
Na1 0.000 0.000 0.000
Ac1 0.343 0.843 0.500
Ac2 0.657 0.157 0.500
Ge1 0.031 0.352 0.678
Ge2 0.322 0.500 0.822
Ge3 0.326 0.648 0.678
Ge4 0.674 0.352 0.322
Ge5 0.678 0.500 0.178
Ge6 0.969 0.648 0.322
# Energy of formation, meV per atom: -288
# Space group: Immm

no.,density of states at the Fermi level (states/eV per atom),final energy (eV per atom),magnetization (μB/atom)
1,3.763,-6.99,1.46
2,0.675,-4.43,0.00